Entry 1:
A plane-wave DFT calculation with PBE was carried out for a relaxed structure of ErCdHgRh.

Structure (POSCAR):
```
ErCdHgRh
1.0
4.8742 0.0000 0.0000
2.4371 4.2211 0.0000
2.4371 1.4070 3.9797
Er Rh Hg Cd
1 1 1 1
Cartesian
2.4371 1.4070 0.9949
0.0000 0.0000 0.0000
4.8742 2.8141 1.9899
7.3112 4.2211 2.9848
```

Summary:
E_tot	-3.65	eV/atom
DFT formation energy	-369	meV/atom
total moment	0.00	μB per atom
density of states at the Fermi level	2.3	states/eV per cell
volume	20.47	A^3/atom

Entry 2:
A plane-wave DFT calculation with PBE was carried out for a relaxed structure of Er2ScCdHg4.

Structure (POSCAR):
```
Er2ScCdHg4
1.0
-2.2664 4.0255 2.0681
-5.0432 0.1331 0.4078
-1.9185 -2.2179 8.4080
Hg Cd Er Sc
4 1 2 1
Cartesian
-4.4264 -0.3349 8.1883
-4.8017 2.2757 2.6957
-7.1050 2.7351 5.4709
-2.1231 -0.7944 5.4131
0.0000 0.0000 0.0000
-2.3154 0.5437 2.5979
-6.9127 1.3971 8.2861
-4.6140 0.9704 5.4420
```

Summary:
E_tot	-2.62	eV/atom
DFT formation energy	-419	meV/atom
total moment	0.00	μB per atom
density of states at the Fermi level	3.2	states/eV per cell
volume	23.33	A^3/atom

Entry 3:
A plane-wave DFT calculation with PBE was carried out for a relaxed structure of SmErCdHg.

Structure (POSCAR):
```
SmErCdHg
1.0
-3.2694 3.1061 2.7995
0.6799 0.5305 5.2373
1.7626 4.5917 1.9958
Cd Hg Er Sm
1 1 1 1
Cartesian
-0.2067 2.0571 2.5081
-0.6202 6.1712 7.5244
0.0000 0.0000 0.0000
-0.4134 4.1141 5.0163
```

Summary:
E_tot	-3.01	eV/atom
DFT formation energy	-388	meV/atom
total moment	0.13	μB per atom
density of states at the Fermi level	4.1	states/eV per cell
volume	26.44	A^3/atom